Material: Nd3SmZn3
Method: DFT, PBE-GGA
State: relaxed

abc: 10.2902 10.3848 7.2169
angles: 90.00 90.00 90.00
Closest atoms and distances in Å follow each position.
Space group Cmmm (No. 65)
Inequivalent atoms, fractional coordinates:
Nd: 0.0000 0.2485 0.0000  6 Zn 3.15-3.16
Nd: 0.2473 0.5000 0.5000  6 Zn 3.15-3.16
Nd: 0.2478 0.5000 0.0000  6 Zn 3.17
Sm: 0.0000 0.2471 0.5000  6 Zn 3.13
Zn: 0.0000 0.0000 0.2521  2 Sm 3.13, 6 Nd 3.16-3.17
Zn: 0.2500 0.2500 0.2528  2 Sm 3.13, 6 Nd 3.15-3.17

## Properties
As for the crystal system: orthorhombic. As for the formation energy: -190 meV per atom. Its total magnetization is 0.00 μB/cell.

***

Material: Sc7Ni6
Method: DFT, PBE-GGA
State: relaxed

abc: 5.7289 5.7289 24.8077
angles: 90.00 90.00 120.00
Closest atoms and distances in Å follow each position.
Space group R-3m (No. 166, hexagonal axes)
Inequivalent atoms, fractional coordinates:
Sc: 0.0000 0.0000 0.0000  6 Sc 2.78
Sc: 0.0088 0.5044 0.4221  2 Ni 2.52-2.57, 3 Sc 2.78-2.79
Ni: 0.0000 0.0000 0.1666  6 Sc 2.52-2.57
Ni: 0.0000 0.0000 0.3485  1 Ni 2.58
Ni: 0.0000 0.0000 0.4524  2 Ni 2.36-2.58

## Properties
As for the crystal system: trigonal. As for the formation energy: 307 meV per atom. Its total magnetization is 0.00 μB/cell.

***

Material: MgCuTc4
Method: DFT, PBE-GGA
State: relaxed

abc: 7.2655 7.2655 7.2655
angles: 90.00 90.00 90.00
Closest atoms and distances in Å follow each position.
Space group F-43m (No. 216)
Inequivalent atoms, fractional coordinates:
Mg: 0.0000 0.0000 0.0000  12 Tc 3.01, 4 Cu 3.15
Cu: 0.2500 0.2500 0.7500  12 Tc 3.01, 4 Mg 3.15
Tc: 0.1246 0.1246 0.3754  6 Tc 2.56-2.58

## Properties
As for the crystal system: cubic. As for the formation energy: 407 meV per atom. Its total magnetization is 0.00 μB/cell.

***

Material: PrDy4Se5
Method: DFT, PBE-GGA
State: relaxed

abc: 4.1107 4.1107 29.1903
angles: 90.00 90.00 90.00
Closest atoms and distances in Å follow each position.
Space group I4/mmm (No. 139)
Inequivalent atoms, fractional coordinates:
Pr: 0.0000 0.0000 0.0000  6 Se 2.91-3.04
Dy: 0.0000 0.0000 0.2043  6 Se 2.87-2.93
Dy: 0.0000 0.0000 0.4024  6 Se 2.85-2.91
Se: 0.0000 0.0000 0.1041  5 Dy 2.91-2.93, 1 Pr 3.04
Se: 0.0000 0.0000 0.3027  6 Dy 2.87-2.91
Se: 0.0000 0.0000 0.5000  2 Dy 2.85, 4 Pr 2.91

## Properties
As for the crystal system: tetragonal. The relative energy among the computed polymorphs is 0.0020 eV per atom. Its total magnetization is 0.00 μB/cell. The value obtained for the uncorrected formation energy is -17.554 eV/f.u.

***

Material: Nd5Sn2Rh
Method: DFT, PBE-GGA
State: relaxed

abc: 8.1503 12.5394 4.7219
angles: 90.00 90.00 90.00
Closest atoms and distances in Å follow each position.
Space group Pbam (No. 55)
Inequivalent atoms, fractional coordinates:
Nd: 0.0000 0.0000 0.0000  4 Sn 3.25, 4 Nd 3.57
Nd: 0.1366 0.2959 0.0000  1 Rh 2.79
Nd: 0.1884 0.5671 0.5000  2 Rh 2.94
Sn: 0.0786 0.8289 0.5000  9 Nd 3.25-3.54
Rh: 0.0000 0.5000 0.0000  6 Nd 2.79-2.94

## Properties
As for the crystal system: orthorhombic. As for the formation energy: -660 meV per atom. Its total magnetization is 0.00 μB/cell.

***

Material: GdErMg2
Method: DFT, PBE-GGA
State: relaxed

abc: 5.3670 5.3670 3.7853
angles: 90.00 90.00 90.00
Closest atoms and distances in Å follow each position.
Space group P4/mmm (No. 123)
Inequivalent atoms, fractional coordinates:
Gd: 0.0000 0.0000 0.0000  8 Mg 3.28
Er: 0.5000 0.5000 0.0000  8 Mg 3.28
Mg: 0.0000 0.5000 0.5000  4 Gd 3.28, 4 Er 3.28

## Properties
As for the crystal system: tetragonal. As for the formation energy: -91 meV per atom. The relative energy among the computed polymorphs is 0.0000 eV per atom. Its total magnetization is 8.02 μB/cell.

***

Material: SrPt2N
Method: DFT, PBE-GGA
State: relaxed

abc: 5.2227 5.2227 12.6044
angles: 90.00 90.00 90.00
Closest atoms and distances in Å follow each position.
Space group I4_1/amd (No. 141, origin choice 2)
Inequivalent atoms, fractional coordinates:
Sr: 0.0000 0.2500 0.3750  8 Pt 3.32, 4 N 3.69
Pt: 0.0000 0.0000 0.0000  2 N 2.05
N: 0.0000 0.2500 0.8750  4 Pt 2.05

## Properties
As for the crystal system: tetragonal. Its total magnetization is 0.00 μB/cell. The value obtained for the uncorrected formation energy is -1.168 eV/f.u.

***

Material: Mn12Ru17
Method: DFT, PBE-GGA
State: relaxed

abc: 9.0409 9.0409 9.0409
angles: 90.00 90.00 90.00
Closest atoms and distances in Å follow each position.
Space group I-43m (No. 217)
Inequivalent atoms, fractional coordinates:
Mn: 0.0865 0.0865 0.2738  3 Mn 2.21-2.39, 1 Ru 2.47
Ru: 0.0000 0.0000 0.0000  12 Mn 2.71, 4 Ru 2.73
Ru: 0.0342 0.3550 0.3550  3 Mn 2.47-2.58, 7 Ru 2.66-2.69
Ru: 0.1742 0.1742 0.8258  6 Mn 2.64, 4 Ru 2.66-2.73

## Properties
As for the crystal system: cubic. As for the formation energy: 52 meV per atom. Its total magnetization is 0.00 μB/cell.

***

Material: PuZnPdPt
Method: DFT, PBE-GGA
State: relaxed

abc: 6.6757 6.6757 6.6757
angles: 90.00 90.00 90.00
Closest atoms and distances in Å follow each position.
Space group F-43m (No. 216)
Inequivalent atoms, fractional coordinates:
Pu: 0.0000 0.0000 0.0000  4 Pd 2.89, 4 Pt 2.89
Zn: 0.0000 0.0000 0.5000  4 Pt 2.89, 4 Pd 2.89
Pd: 0.2500 0.2500 0.7500  4 Zn 2.89, 4 Pu 2.89
Pt: 0.2500 0.2500 0.2500  4 Pu 2.89, 4 Zn 2.89

## Properties
As for the crystal system: cubic. As for the formation energy: -515 meV per atom. Its total magnetization is 19.62 μB/cell.

***

Material: BaTaW2
Method: DFT, PBE-GGA
State: relaxed

abc: 6.8576 6.8576 6.8576
angles: 90.00 90.00 90.00
Closest atoms and distances in Å follow each position.
Space group F-43m (No. 216)
Inequivalent atoms, fractional coordinates:
Ba: 0.0000 0.0000 0.0000  4 Ta 2.97, 4 W 2.97
Ta: 0.2500 0.2500 0.2500  4 W 2.97, 4 Ba 2.97
W: 0.0000 0.0000 0.5000  4 W 2.97, 4 Ta 2.97
W: 0.2500 0.2500 0.7500  4 Ba 2.97, 4 W 2.97

## Properties
As for the crystal system: cubic. As for the formation energy: 1383 meV per atom. The relative energy among the computed polymorphs is 0.6304 eV per atom. Its total magnetization is 0.00 μB/cell.